[1]
Material: CaBe2Pt
Method: DFT, PBE
State: relaxed

Cell: 4.8194 4.8194 4.8194 Å, 131.00 131.00 71.81°
Closest atoms and distances in Å follow each position.
Fractional coordinates of all 4 atoms:
Be: 0.2500 0.7500 0.5000  4 Ca 2.79, 4 Be 2.79, 4 Pt 2.83
Be: 0.0000 0.0000 0.0000  4 Be 2.79, 4 Pt 2.79, 4 Ca 2.83
Pt: 0.7500 0.2500 0.5000  8 Be 2.79-2.83, 4 Ca 2.79
Ca: 0.5000 0.5000 0.0000  4 Pt 2.79, 8 Be 2.79-2.83

N(E_F) (states/eV per cell): 2.136
Size of the total moment (μB/f.u.): 0.00
Offset from the most stable computed form (meV/atom): 671.3
Formation energy (eV/atom): 0.1017
Space-group type: I-4m2 (119)



[2]
Material: CaBePt3
Method: DFT, PBE
State: relaxed

Cell: 4.9068 4.9068 4.9068 Å, 90.00 90.00 90.00°
Closest atoms and distances in Å follow each position.
Fractional coordinates of all 5 atoms:
Pt: 0.0000 0.0000 0.5000  2 Ca 2.45
Pt: 0.5000 0.0000 0.0000  2 Ca 2.45
Pt: 0.0000 0.5000 0.0000  2 Ca 2.45
Ca: 0.0000 0.0000 0.0000  6 Pt 2.45
Be: 0.5000 0.5000 0.5000  12 Pt 3.47

N(E_F) (states/eV per cell): 4.771
Size of the total moment (μB/f.u.): 0.00
Offset from the most stable computed form (meV/atom): 2275.9
Formation energy (eV/atom): 1.5378
Space-group type: Pm-3m (221)



[3]
Material: CaBePt4
Method: DFT, PBE
State: relaxed

Cell: 5.3227 5.3227 5.3227 Å, 60.00 60.00 60.00°
Closest atoms and distances in Å follow each position.
Fractional coordinates of all 6 atoms:
Pt: 0.3755 0.3755 0.8734  6 Pt 2.65-2.67
Pt: 0.8734 0.3755 0.3755  6 Pt 2.65-2.67
Pt: 0.3755 0.8734 0.3755  6 Pt 2.65-2.67
Pt: 0.3755 0.3755 0.3755  6 Pt 2.65-2.67
Ca: 0.0000 0.0000 0.0000  12 Pt 3.12, 4 Be 3.26
Be: 0.7500 0.7500 0.7500  12 Pt 3.12, 4 Ca 3.26

N(E_F) (states/eV per cell): 6.385
Size of the total moment (μB/f.u.): 0.00
Formation energy (eV/atom): -0.3246
Space-group type: F-43m (216)



[4]
Material: CaBePt3
Method: DFT, PBE
State: relaxed

Cell: 9.8412 7.5202 7.5202 Å, 101.91 125.99 54.01°
Closest atoms and distances in Å follow each position.
Fractional coordinates of all 20 atoms:
Be: 0.3339 0.0421 0.8536  4 Pt 2.21-2.37, 1 Be 2.37
Be: 0.1661 0.3536 0.5421  4 Pt 2.21-2.37, 1 Be 2.37
Be: 0.8339 0.6464 0.4579  4 Pt 2.21-2.37, 1 Be 2.37
Be: 0.6661 0.9579 0.1464  4 Pt 2.21-2.37, 1 Be 2.37
Pt: 0.0680 0.2730 0.9537  1 Be 2.62, 5 Pt 2.69-2.78, 2 Ca 2.86-2.90
Pt: 0.2819 0.3514 0.3634  1 Be 2.21
Pt: 0.2181 0.8634 0.8514  1 Be 2.21
Pt: 0.0129 0.7420 0.4695  3 Be 2.22-2.37
Pt: 0.4871 0.9695 0.2420  3 Be 2.22-2.37
Pt: 0.5680 0.5463 0.2270  1 Be 2.62, 5 Pt 2.69-2.78, 2 Ca 2.86-2.90
Pt: 0.9871 0.2580 0.5305  3 Be 2.22-2.37
Pt: 0.4320 0.4537 0.7730  1 Be 2.62, 5 Pt 2.69-2.78, 2 Ca 2.86-2.90
Pt: 0.9320 0.7270 0.0463  1 Be 2.62, 5 Pt 2.69-2.78, 2 Ca 2.86-2.90
Pt: 0.7181 0.6486 0.6367  1 Be 2.21
Pt: 0.5129 0.0305 0.7580  3 Be 2.22-2.37
Pt: 0.7819 0.1366 0.1486  1 Be 2.21
Ca: 0.7500 0.1321 0.6321  8 Pt 3.09-3.45, 2 Be 3.39
Ca: 0.2500 0.4701 0.9701  6 Pt 2.86-3.05, 2 Be 2.89
Ca: 0.2500 0.8679 0.3679  8 Pt 3.09-3.45, 2 Be 3.39
Ca: 0.7500 0.5299 0.0299  6 Pt 2.86-3.05, 2 Be 2.89

N(E_F) (states/eV per cell): 11.342
Size of the total moment (μB/f.u.): 0.00
Offset from the most stable computed form (meV/atom): 105.7
Formation energy (eV/atom): -0.6325
Space-group type: C2/c (15)



[5]
Material: Ca2BePt2
Method: DFT, PBE
State: relaxed

Cell: 5.6653 5.6653 7.3435 Å, 80.54 80.54 60.54°
Closest atoms and distances in Å follow each position.
Fractional coordinates of all 10 atoms:
Pt: 0.7454 0.0044 0.5079  2 Be 2.35-2.37
Pt: 0.9956 0.2546 0.9921  2 Be 2.35-2.37
Pt: 0.0044 0.7454 0.0079  2 Be 2.35-2.37
Pt: 0.2546 0.9956 0.4921  2 Be 2.35-2.37
Be: 0.0730 0.9270 0.2500  4 Pt 2.35-2.37
Be: 0.9270 0.0730 0.7500  4 Pt 2.35-2.37
Ca: 0.5228 0.7771 0.8531  6 Pt 3.01-3.05, 1 Be 3.10
Ca: 0.4772 0.2229 0.1469  6 Pt 3.01-3.05, 1 Be 3.10
Ca: 0.2229 0.4772 0.6469  6 Pt 3.01-3.05, 1 Be 3.10
Ca: 0.7771 0.5228 0.3531  6 Pt 3.01-3.05, 1 Be 3.10

N(E_F) (states/eV per cell): 3.945
Size of the total moment (μB/f.u.): 0.00
Offset from the most stable computed form (meV/atom): 0.0
Formation energy (eV/atom): -0.8464
Space-group type: C2/c (15)



[6]
Material: CaBePt3
Method: DFT, PBE
State: relaxed

Cell: 4.0385 4.0385 5.2027 Å, 90.00 90.00 90.00°
Closest atoms and distances in Å follow each position.
Fractional coordinates of all 5 atoms:
Pt: 0.0000 0.5000 0.3185  2 Be 2.31
Pt: 0.0000 0.0000 0.6838  1 Be 2.19
Pt: 0.5000 0.0000 0.3185  2 Be 2.31
Be: 0.0000 0.0000 0.1038  5 Pt 2.19-2.31
Ca: 0.5000 0.5000 0.8392  8 Pt 2.97-3.21, 4 Be 3.17

N(E_F) (states/eV per cell): 1.437
Size of the total moment (μB/f.u.): 0.00
Offset from the most stable computed form (meV/atom): 57.1
Formation energy (eV/atom): -0.6810
Space-group type: P4mm (99)



[7]
Material: CaBe2Pt3
Method: DFT, PBE
State: relaxed

Cell: 3.8696 9.1593 9.1592 Å, 120.00 90.00 90.00°
Closest atoms and distances in Å follow each position.
Fractional coordinates of all 18 atoms:
Be: 0.5000 0.3571 0.1785  6 Pt 2.41-2.56
Be: 0.5000 0.6429 0.8215  6 Pt 2.41-2.56
Be: 0.5000 0.8215 0.6429  6 Pt 2.41-2.56
Be: 0.5000 0.1785 0.3571  6 Pt 2.41-2.56
Be: 0.5000 0.8215 0.1785  6 Pt 2.41-2.56
Be: 0.5000 0.1785 0.8215  6 Pt 2.41-2.56
Pt: 0.0000 0.0000 0.7076  4 Be 2.41, 2 Pt 2.68
Pt: 0.0000 0.0000 0.2924  4 Be 2.41, 2 Pt 2.68
Pt: 0.5000 0.0000 0.5000  4 Be 2.56, 4 Pt 2.71
Pt: 0.0000 0.7076 0.7076  4 Be 2.41, 2 Pt 2.68
Pt: 0.5000 0.5000 0.5000  4 Be 2.56, 4 Pt 2.71
Pt: 0.0000 0.2924 0.2924  4 Be 2.41, 2 Pt 2.68
Pt: 0.5000 0.5000 0.0000  4 Be 2.56, 4 Pt 2.71
Pt: 0.0000 0.2924 0.0000  4 Be 2.41, 2 Pt 2.68
Pt: 0.0000 0.7076 0.0000  4 Be 2.41, 2 Pt 2.68
Ca: 0.0000 0.6667 0.3333  6 Be 3.13, 12 Pt 3.26-3.28
Ca: 0.0000 0.3333 0.6667  6 Be 3.13, 12 Pt 3.26-3.28
Ca: 0.5000 0.0000 0.0000  6 Be 2.83

N(E_F) (states/eV per cell): 12.704
Size of the total moment (μB/f.u.): 0.00
Formation energy (eV/atom): -0.6731
Space-group type: P6/mmm (191)



[8]
Material: CaBePt3
Method: DFT, PBE
State: relaxed

Cell: 6.9091 6.4128 4.6280 Å, 90.01 89.99 122.58°
Closest atoms and distances in Å follow each position.
Fractional coordinates of all 10 atoms:
Ca: 0.3317 0.5690 0.4337  2 Be 3.14, 12 Pt 3.16-3.21, 2 Ca 3.45
Ca: 0.8317 0.5690 0.4337  2 Be 3.14, 12 Pt 3.16-3.21, 2 Ca 3.45
Pt: 0.4610 0.3278 0.9349  2 Be 2.33, 1 Pt 2.61
Pt: 0.2023 0.8102 0.9349  2 Be 2.33, 1 Pt 2.61
Pt: 0.8316 0.0690 0.4393  2 Be 2.37-2.38
Pt: 0.9610 0.3278 0.9349  2 Be 2.33, 1 Pt 2.61
Pt: 0.7023 0.8102 0.9349  2 Be 2.33, 1 Pt 2.61
Pt: 0.3316 0.0690 0.4393  2 Be 2.37-2.38
Be: 0.5816 0.0691 0.0870  6 Pt 2.33-2.38
Be: 0.0816 0.0691 0.0871  6 Pt 2.33-2.38

N(E_F) (states/eV per cell): 3.279
Size of the total moment (μB/f.u.): 0.00
Offset from the most stable computed form (meV/atom): 18.2
Formation energy (eV/atom): -0.7199
Space-group type: Pmm2 (25)



[9]
Material: CaBePt3
Method: DFT, PBE
State: relaxed

Cell: 8.0799 8.0799 5.3138 Å, 90.00 90.00 143.20°
Closest atoms and distances in Å follow each position.
Fractional coordinates of all 10 atoms:
Be: 0.5117 0.4883 0.7500  2 Pt 2.23
Be: 0.4883 0.5117 0.2500  2 Pt 2.23
Pt: 0.1223 0.3872 0.2500  1 Be 2.23, 1 Pt 2.50
Pt: 0.0000 0.0000 0.0000  6 Pt 2.66-2.75, 4 Be 2.88
Pt: 0.8777 0.6128 0.7500  1 Be 2.23, 1 Pt 2.50
Pt: 0.3872 0.1223 0.7500  1 Be 2.23, 1 Pt 2.50
Pt: 0.0000 0.0000 0.5000  6 Pt 2.66-2.75, 4 Be 2.88
Pt: 0.6128 0.8777 0.2500  1 Be 2.23, 1 Pt 2.50
Ca: 0.1819 0.8181 0.2500  8 Pt 3.05-3.11
Ca: 0.8181 0.1819 0.7500  8 Pt 3.05-3.11

N(E_F) (states/eV per cell): 11.488
Size of the total moment (μB/f.u.): 0.00
Offset from the most stable computed form (meV/atom): 493.0
Formation energy (eV/atom): -0.2451
Space-group type: Cmcm (63)



[10]
Material: Ca2BePt
Method: DFT, PBE
State: relaxed

Cell: 3.3163 3.3163 8.2112 Å, 90.00 90.00 90.00°
Closest atoms and distances in Å follow each position.
Fractional coordinates of all 4 atoms:
Be: 0.5000 0.5000 0.6658  4 Pt 2.45
Ca: 0.0000 0.0000 0.9271  1 Pt 2.86, 4 Be 3.18
Ca: 0.5000 0.5000 0.3279  1 Be 2.77
Pt: 0.0000 0.0000 0.5792  4 Be 2.45

N(E_F) (states/eV per cell): 1.926
Size of the total moment (μB/f.u.): 0.00
Formation energy (eV/atom): -0.3287
Space-group type: P4mm (99)



[11]
Material: CaBePt3
Method: DFT, PBE
State: relaxed

Cell: 3.7542 3.7542 16.0905 Å, 90.00 90.00 120.00°
Closest atoms and distances in Å follow each position.
Fractional coordinates of all 10 atoms:
Ca: 0.0000 0.0000 0.5000  6 Pt 2.90
Ca: 0.0000 0.0000 0.0000  6 Pt 2.90
Pt: 0.6667 0.3333 0.3802  1 Be 2.10
Pt: 0.0000 0.0000 0.7500  3 Be 2.17
Pt: 0.3333 0.6667 0.8802  1 Be 2.10
Pt: 0.0000 0.0000 0.2500  3 Be 2.17
Pt: 0.6667 0.3333 0.1198  1 Be 2.10
Pt: 0.3333 0.6667 0.6198  1 Be 2.10
Be: 0.6667 0.3333 0.2500  5 Pt 2.10-2.17
Be: 0.3333 0.6667 0.7500  5 Pt 2.10-2.17

N(E_F) (states/eV per cell): 5.270
Size of the total moment (μB/f.u.): 0.00
Offset from the most stable computed form (meV/atom): 765.4
Formation energy (eV/atom): 0.0272
Space-group type: P6_3/mmc (194)



[12]
Material: CaBePt3
Method: DFT, PBE
State: relaxed

Cell: 4.9690 5.1975 8.2863 Å, 90.00 107.49 90.00°
Closest atoms and distances in Å follow each position.
Fractional coordinates of all 10 atoms:
Ca: 0.6223 0.2500 0.7450  8 Pt 2.78-3.10
Ca: 0.3777 0.7500 0.2550  8 Pt 2.78-3.10
Pt: 0.9565 0.7500 0.4126  1 Be 2.17
Pt: 0.7942 0.9983 0.0880  1 Be 2.21
Pt: 0.2058 0.0017 0.9120  1 Be 2.21
Pt: 0.0435 0.2500 0.5874  1 Be 2.17
Pt: 0.2058 0.4983 0.9120  1 Be 2.21
Pt: 0.7942 0.5017 0.0880  1 Be 2.21
Be: 0.9063 0.2500 0.3134  3 Pt 2.17-2.21
Be: 0.0937 0.7500 0.6866  3 Pt 2.17-2.21

N(E_F) (states/eV per cell): 7.356
Size of the total moment (μB/f.u.): 0.00
Offset from the most stable computed form (meV/atom): 338.8
Formation energy (eV/atom): -0.3994
Space-group type: P2_1/m (11)



no.,mass density (g/cm3)
1,6.7
2,8.9
3,12.9
4,11.8
5,7.9
6,12.4
7,11.4
8,12.2
9,10.1
10,5.2
11,10.7
12,10.3